Mg2ZnRe, optimized geometry, DFT PBE-GGA; energy of formation = 0.2581 eV/atom; E = -3.97 eV per atom; crystal system = trigonal; N(E_F) = 2.85 states/eV per cell
1.0
1.4442 0.8338 9.4550
-1.4442 0.8338 9.4550
0.0000 -1.6676 9.4550
Mg Zn Re
2 1 1
direct
0.0000 0.0000 0.0000
0.2397 0.2397 0.2397
0.4903 0.4903 0.4903
0.7477 0.7477 0.7477



MgZnRe2, optimized geometry, DFT PBE-GGA; energy of formation = 0.2819 eV/atom; E = -6.66 eV per atom; crystal system = monoclinic; N(E_F) = 2.64 states/eV per cell
1.0
4.7579 -1.4039 0.0000
4.7579 1.4039 0.0000
-1.0364 0.0000 4.5999
Mg Zn Re
1 1 2
direct
0.0000 0.0000 0.0000
0.5000 0.5000 0.5000
0.2422 0.2422 0.7460
0.7578 0.7578 0.2540



Mg2ZnRe, optimized geometry, DFT PBE-GGA; energy of formation = 0.2510 eV/atom; E = -3.98 eV per atom; crystal system = trigonal; N(E_F) = 2.49 states/eV per cell
1.0
1.4368 0.8295 9.4289
-1.4368 0.8295 9.4289
0.0000 -1.6591 9.4289
Mg Zn Re
2 1 1
direct
0.2483 0.2483 0.2483
0.7517 0.7517 0.7517
0.0000 0.0000 0.0000
0.5000 0.5000 0.5000



MgZnRe2, optimized geometry, DFT PBE-GGA; energy of formation = 0.9381 eV/atom; E = -6.00 eV per atom; crystal system = tetragonal; N(E_F) = 4.53 states/eV per cell
1.0
-3.6839 3.6839 2.4844
3.6839 -3.6839 2.4844
3.6839 3.6839 -2.4844
Mg Zn Re
2 2 4
direct
0.0000 0.0000 0.0000
0.7500 0.2500 0.5000
0.2500 0.7500 0.5000
0.5000 0.5000 0.0000
0.1617 0.1250 0.5367
0.3750 0.8383 0.9633
0.5883 0.6250 0.4633
0.8750 0.4117 0.0367



MgZrRe, optimized geometry, DFT PBE-GGA; energy of formation = 0.3238 eV/atom; E = -7.21 eV per atom; crystal system = tetragonal; N(E_F) = 3.02 states/eV per cell
1.0
-1.3963 1.3963 7.2138
1.3963 -1.3963 7.2138
1.3963 1.3963 -7.2138
Mg Zr Re
1 1 1
direct
0.0000 0.0000 0.0000
0.3118 0.3118 0.0000
0.6500 0.6500 0.0000



MgZrRe, optimized geometry, DFT PBE-GGA; energy of formation = 0.1621 eV/atom; E = -7.37 eV per atom; crystal system = orthorhombic; N(E_F) = 2.63 states/eV per cell
1.0
-1.3723 2.2784 4.3836
1.3723 -2.2784 4.3836
1.3723 2.2784 -4.3836
Mg Zr Re
1 1 1
direct
0.0000 0.0000 0.0000
0.3259 0.3259 0.0000
0.6593 0.6593 0.0000



Which of these has the lowest N(E_F)? number 3



The highest E belongs to which entry? number 1



What did the first record say?
Mg2ZnRe, optimized geometry, DFT PBE-GGA; energy of formation = 0.2581 eV/atom; E = -3.97 eV per atom; crystal system = trigonal; N(E_F) = 2.85 states/eV per cell
1.0
1.4442 0.8338 9.4550
-1.4442 0.8338 9.4550
0.0000 -1.6676 9.4550
Mg Zn Re
2 1 1
direct
0.0000 0.0000 0.0000
0.2397 0.2397 0.2397
0.4903 0.4903 0.4903
0.7477 0.7477 0.7477